Entry 1:
# GGA-PBEsol CaY2Hg, relaxed
# DFT total energy: -34.9 eV for the cell shown
# DFT formation energy: -0.27 eV/atom
# V: 232 Å³ per cell
# Fermi-level density of states: 7.656 states/eV/cell
data_CaY2Hg
_symmetry_space_group_name_H-M 'I m m m'
_symmetry_Int_Tables_number 71
_symmetry_space_group_name_Hall '-I 2 2'
_cell_length_a 3.6985
_cell_length_b 5.3986
_cell_length_c 11.6280
_cell_angle_alpha 90.00
_cell_angle_beta 90.00
_cell_angle_gamma 90.00
loop_
_atom_site_label
_atom_site_fract_x
_atom_site_fract_y
_atom_site_fract_z
_atom_site_occupancy
Ca1 0.0000 0.0000 0.0000 1
Y1 0.0000 0.5000 0.2111 1
Hg1 0.0000 0.0000 0.5000 1

=====

Entry 2:
# GGA-PBEsol CaY2Hg, relaxed
# DFT total energy: -17.4 eV for the cell shown
# DFT formation energy: -0.26 eV/atom
# V: 117 Å³ per cell
# Fermi-level density of states: 6.190 states/eV/cell
data_CaY2Hg
_symmetry_space_group_name_H-M 'P 4 m m'
_symmetry_Int_Tables_number 99
_cell_length_a 3.5714
_cell_length_b 3.5714
_cell_length_c 9.1475
_cell_angle_alpha 90.00
_cell_angle_beta 90.00
_cell_angle_gamma 90.00
loop_
_symmetry_equiv_pos_as_xyz
'x,y,z'
'-y,x,z'
'-x,-y,z'
'y,-x,z'
'-x,y,z'
'y,x,z'
'x,-y,z'
'-y,-x,z'
loop_
_atom_site_label
_atom_site_fract_x
_atom_site_fract_y
_atom_site_fract_z
_atom_site_occupancy
Ca1 0.0000 0.0000 0.0000 1
Y1 0.0000 0.0000 0.4225 1
Y2 0.5000 0.5000 0.6868 1
Hg1 0.5000 0.5000 0.2184 1

=====

Entry 3:
# GGA-PBEsol CaY2Hg2, relaxed
# DFT total energy: -36.8 eV for the cell shown
# DFT formation energy: -0.29 eV/atom
# V: 287 Å³ per cell
# Fermi-level density of states: 10.591 states/eV/cell
data_CaY2Hg2
_symmetry_space_group_name_H-M 'I 4/m m m'
_symmetry_Int_Tables_number 139
_symmetry_space_group_name_Hall '-I 4 2'
_cell_length_a 4.5995
_cell_length_b 4.5995
_cell_length_c 13.5825
_cell_angle_alpha 90.00
_cell_angle_beta 90.00
_cell_angle_gamma 90.00
loop_
_atom_site_label
_atom_site_fract_x
_atom_site_fract_y
_atom_site_fract_z
_atom_site_occupancy
Ca1 0.0000 0.0000 0.0000 1
Y1 0.0000 0.5000 0.2500 1
Hg1 0.0000 0.0000 0.3987 1

=====

Entry 4:
# GGA-PBEsol CaZn3Hg, relaxed
# DFT total energy: -3.2 eV for the cell shown
# DFT formation energy: 0.84 eV/atom
# V: 177 Å³ per cell
# Fermi-level density of states: 3.843 states/eV/cell
data_CaZn3Hg
_symmetry_space_group_name_H-M 'P m -3 m'
_symmetry_Int_Tables_number 221
_symmetry_space_group_name_Hall '-P 4 2 3'
_cell_length_a 5.6192
_cell_length_b 5.6192
_cell_length_c 5.6192
_cell_angle_alpha 90.00
_cell_angle_beta 90.00
_cell_angle_gamma 90.00
loop_
_atom_site_label
_atom_site_fract_x
_atom_site_fract_y
_atom_site_fract_z
_atom_site_occupancy
Ca1 0.0000 0.0000 0.0000 1
Zn1 0.0000 0.0000 0.5000 1
Hg1 0.5000 0.5000 0.5000 1

=====

Entry 5:
# GGA-PBEsol CaZn3Hg, relaxed
# DFT total energy: -6.5 eV for the cell shown
# DFT formation energy: 0.19 eV/atom
# V: 120 Å³ per cell
# Fermi-level density of states: 2.403 states/eV/cell
data_CaZn3Hg
_symmetry_space_group_name_H-M 'P m -3 m'
_symmetry_Int_Tables_number 221
_symmetry_space_group_name_Hall '-P 4 2 3'
_cell_length_a 4.9353
_cell_length_b 4.9353
_cell_length_c 4.9353
_cell_angle_alpha 90.00
_cell_angle_beta 90.00
_cell_angle_gamma 90.00
loop_
_atom_site_label
_atom_site_fract_x
_atom_site_fract_y
_atom_site_fract_z
_atom_site_occupancy
Ca1 0.0000 0.0000 0.0000 1
Zn1 0.0000 0.5000 0.5000 1
Hg1 0.5000 0.5000 0.5000 1

=====

Entry 6:
# GGA-PBEsol CaZnHg, relaxed
# DFT total energy: -5.6 eV for the cell shown
# DFT formation energy: -0.43 eV/atom
# V: 67 Å³ per cell
# Fermi-level density of states: 1.852 states/eV/cell
data_CaZnHg
_symmetry_space_group_name_H-M 'P -6 m 2'
_symmetry_Int_Tables_number 187
_symmetry_space_group_name_Hall 'P -6 2'
_cell_length_a 4.6546
_cell_length_b 4.6546
_cell_length_c 3.5642
_cell_angle_alpha 90.00
_cell_angle_beta 90.00
_cell_angle_gamma 120.00
loop_
_atom_site_label
_atom_site_fract_x
_atom_site_fract_y
_atom_site_fract_z
_atom_site_occupancy
Ca1 0.0000 0.0000 0.0000 1
Zn1 0.6667 0.3333 0.5000 1
Hg1 0.3333 0.6667 0.5000 1

=====

Entry 7:
# GGA-PBEsol CaZrHg2, relaxed
# DFT total energy: -12.9 eV for the cell shown
# DFT formation energy: -0.14 eV/atom
# V: 95 Å³ per cell
# Fermi-level density of states: 3.919 states/eV/cell
data_CaZrHg2
_symmetry_space_group_name_H-M 'P 4 m m'
_symmetry_Int_Tables_number 99
_cell_length_a 3.8372
_cell_length_b 3.8372
_cell_length_c 6.4213
_cell_angle_alpha 90.00
_cell_angle_beta 90.00
_cell_angle_gamma 90.00
loop_
_symmetry_equiv_pos_as_xyz
'x,y,z'
'-y,x,z'
'-x,-y,z'
'y,-x,z'
'-x,y,z'
'y,x,z'
'x,-y,z'
'-y,-x,z'
loop_
_atom_site_label
_atom_site_fract_x
_atom_site_fract_y
_atom_site_fract_z
_atom_site_occupancy
Ca1 0.0000 0.0000 0.0000 1
Zr1 0.5000 0.5000 0.6830 1
Hg1 0.0000 0.0000 0.4960 1
Hg2 0.5000 0.5000 0.2197 1

=====

Entry 8:
# GGA-PBEsol Ca2ZrHg, relaxed
# DFT total energy: -27.0 eV for the cell shown
# DFT formation energy: 0.11 eV/atom
# V: 202 Å³ per cell
# Fermi-level density of states: 9.301 states/eV/cell
data_Ca2ZrHg
_symmetry_space_group_name_H-M 'I 4/m m m'
_symmetry_Int_Tables_number 139
_symmetry_space_group_name_Hall '-I 4 2'
_cell_length_a 4.5031
_cell_length_b 4.5031
_cell_length_c 9.9618
_cell_angle_alpha 90.00
_cell_angle_beta 90.00
_cell_angle_gamma 90.00
loop_
_atom_site_label
_atom_site_fract_x
_atom_site_fract_y
_atom_site_fract_z
_atom_site_occupancy
Ca1 0.0000 0.5000 0.2500 1
Zr1 0.0000 0.0000 0.0000 1
Hg1 0.0000 0.0000 0.5000 1